Record 1
## KMgSb (SCAN)

Data for a PBEsol-optimized structure of KMgSb.

Structure (POSCAR):
```
KMgSb
1.0
4.784 0.000 0.000
0.000 4.784 0.000
0.000 0.000 8.209
K Mg Sb
2 2 2
Direct
0.250 0.250 0.149
0.750 0.750 0.851
0.250 0.750 0.500
0.750 0.250 0.500
0.250 0.250 0.703
0.750 0.750 0.297
```

Properties
The calculation puts the uncorrected formation energy at -678 meV per atom. Its volume is 31.31 A^3/atom. As for the electronic total energy: -105.194 eV for the cell shown.

Record 2
## NiGe3Os (SCAN)

Data for a PBEsol-optimized structure of NiGe3Os.

Structure (POSCAR):
```
NiGe3Os
1.0
4.378 0.000 0.000
0.000 4.378 0.000
0.000 0.000 4.378
Ni Ge Os
1 3 1
Direct
0.000 0.000 0.000
0.000 0.000 0.500
0.000 0.500 0.000
0.500 0.000 0.000
0.500 0.500 0.500
```

Properties
Its volume is 16.79 A^3/atom. As for the electronic total energy: -140.218 eV for the cell shown.

Record 3
## Ba2TeBr (SCAN)

Data for a PBEsol-optimized structure of Ba2TeBr.

Structure (POSCAR):
```
Ba2TeBr
1.0
2.412 1.393 7.584
-2.412 1.393 7.584
0.000 -2.785 7.584
Ba Te Br
2 1 1
Direct
0.249 0.249 0.249
0.751 0.751 0.751
0.000 0.000 0.000
0.500 0.500 0.500
```

Properties
The calculation puts the uncorrected formation energy at -1898 meV per atom. Its volume is 38.21 A^3/atom. Its energy above the lowest structure with this stoichiometry is 0.000 eV/atom. As for the electronic total energy: -143.405 eV for the cell shown.

Record 4
## CsCo2Au (SCAN)

Data for a PBEsol-optimized structure of CsCo2Au.

Structure (POSCAR):
```
CsCo2Au
1.0
0.000 3.275 3.275
3.275 0.000 3.275
3.275 3.275 0.000
Cs Co Au
1 2 1
Direct
0.000 0.000 0.000
0.250 0.250 0.250
0.750 0.750 0.750
0.500 0.500 0.500
```

Properties
Its volume is 17.56 A^3/atom. As for the electronic total energy: -135.884 eV for the cell shown.